Record 1
Computed, not measured: an optimized crystal structure of Ir2C at the PBE level of DFT.

Unit cell a=3.368 b=3.368 c=3.827 alpha=90.00 beta=90.00 gamma=120.00
Element x y z (fractional)
Ir1 0.333 0.667 0.239
Ir2 0.667 0.333 0.761
C1 0.000 0.000 0.000

Output
The density is 17.51 g/cm3. For the energy above the lowest structure with this stoichiometry, the calculation gives 0.258 eV per atom. As for the symmetry: P-3m1.

---

Record 2
Computed, not measured: an optimized crystal structure of LiMnTlAu at the PBE level of DFT.

Unit cell a=4.636 b=4.636 c=4.636 alpha=60.00 beta=60.00 gamma=60.00
Element x y z (fractional)
Mn1 0.750 0.750 0.750
Au1 0.000 0.000 0.000
Tl1 0.500 0.500 0.500
Li1 0.250 0.250 0.250

Output
The density is 10.92 g/cm3. The calculation puts the total energy at -4.258 eV/atom. As for the symmetry: F-43m.

---

Record 3
Computed, not measured: an optimized crystal structure of Na3In3TeSe8 at the PBE level of DFT.

Unit cell a=8.028 b=8.027 c=8.507 alpha=118.17 beta=90.00 gamma=120.00
Element x y z (fractional)
Se1 0.244 0.981 0.724
Se2 0.756 0.019 0.276
Se3 0.261 0.521 0.282
Se4 0.263 0.019 0.276
Se5 0.739 0.479 0.718
Se6 0.244 0.487 0.724
Se7 0.756 0.513 0.276
Se8 0.737 0.981 0.724
Na1 0.000 0.000 0.000
Na2 0.000 0.500 0.000
Na3 0.500 0.500 0.000
In1 0.000 0.500 0.500
In2 0.500 0.500 0.500
In3 0.500 0.000 0.500
Te1 0.000 0.000 0.500

Output
The formation energy (no corrections) is -0.647 eV/atom. The density is 4.89 g/cm3. As for the symmetry: R-3m.

---

Record 4
Computed, not measured: an optimized crystal structure of La5DyTm2Th at the PBE level of DFT.

Unit cell a=5.493 b=11.147 c=10.710 alpha=90.00 beta=90.00 gamma=104.26
Element x y z (fractional)
La1 0.723 0.446 0.816
La2 0.002 0.004 0.508
La3 0.723 0.446 0.201
La4 0.277 0.554 0.316
La5 0.500 0.000 0.758
La6 0.372 0.745 0.008
La7 0.998 0.996 0.008
La8 0.628 0.255 0.508
La9 0.500 0.000 0.258
La10 0.277 0.554 0.701
Tm1 0.112 0.223 0.766
Tm2 0.112 0.223 0.251
Tm3 0.888 0.777 0.751
Tm4 0.888 0.777 0.266
Th1 0.788 0.576 0.508
Th2 0.212 0.424 0.008
Dy1 0.602 0.204 0.008
Dy2 0.398 0.796 0.508

Output
The density is 7.46 g/cm3. The calculation puts the total energy at -4.937 eV/atom. As for the symmetry: Cmcm.

---

Record 5
Computed, not measured: an optimized crystal structure of Pr5ZnSb2 at the PBE level of DFT.

Unit cell a=5.830 b=5.683 c=17.621 alpha=90.00 beta=90.00 gamma=120.86
Element x y z (fractional)
Pr1 0.583 0.166 0.914
Pr2 0.093 0.186 0.396
Pr3 0.907 0.814 0.604
Pr4 0.737 0.474 0.250
Pr5 0.417 0.834 0.086
Pr6 0.263 0.526 0.750
Pr7 0.417 0.834 0.414
Pr8 0.093 0.186 0.104
Pr9 0.907 0.814 0.896
Pr10 0.583 0.166 0.586
Sb1 0.760 0.521 0.070
Sb2 0.760 0.521 0.430
Sb3 0.240 0.479 0.570
Sb4 0.240 0.479 0.930
Zn1 0.636 0.271 0.750
Zn2 0.364 0.729 0.250

Output
The formation energy (no corrections) is -0.471 eV/atom. The density is 6.72 g/cm3. As for the symmetry: Cmcm.

---

Record 6
Computed, not measured: an optimized crystal structure of Cd4SnHg5 at the PBE level of DFT.

Unit cell a=3.440 b=3.440 c=20.757 alpha=90.00 beta=90.00 gamma=90.00
Element x y z (fractional)
Cd1 0.000 0.000 0.204
Cd2 0.000 0.000 0.598
Cd3 0.000 0.000 0.402
Cd4 0.000 0.000 0.796
Hg1 0.500 0.500 0.303
Hg2 0.500 0.500 0.107
Hg3 0.500 0.500 0.893
Hg4 0.500 0.500 0.500
Hg5 0.500 0.500 0.697
Sn1 0.000 0.000 0.000

Output
The density is 10.62 g/cm3. For the energy above the lowest structure with this stoichiometry, the calculation gives 0.000 eV per atom. As for the symmetry: P4/mmm.